Here is a relaxed Cr2SiRu crystal from the Alexandria database. Energies are from GGA-PBE.

a b c (Å): 4.1513 4.1513 2.9384
angles (deg): 90.00 90.00 90.00
Closest atoms and distances in Å follow each position.
Space group P4/mmm (No. 123)
Symmetry-distinct sites (fractional):
Cr: 0.0000 0.5000 0.0000 x2  4 Ru 2.54, 4 Si 2.54
Si: 0.0000 0.0000 0.5000 x1  8 Cr 2.54
Ru: 0.5000 0.5000 0.5000 x1  8 Cr 2.54

N(E_F): 4.4 states/eV/cell
raw formation energy: 39.4 meV/atom
total energy: -33.79 eV per cell
spin magnetization: 3.0 μB per formula unit

Here is a relaxed AcSm2Br crystal from the Alexandria database. Energies are from GGA-PBE.

a b c (Å): 3.6858 3.6858 9.8427
angles (deg): 90.00 90.00 90.00
Closest atoms and distances in Å follow each position.
Space group P4/mmm (No. 123)
Symmetry-distinct sites (fractional):
Ac: 0.0000 0.0000 0.0000 x1  4 Ac 3.69, 8 Sm 3.72
Sm: 0.5000 0.5000 0.2692 x2  4 Br 3.46, 4 Sm 3.69, 4 Ac 3.72
Br: 0.0000 0.0000 0.5000 x1  8 Sm 3.46, 4 Br 3.69

N(E_F): 3.7 states/eV/cell
raw formation energy: -406.7 meV/atom
total energy: -16.85 eV per cell
E above lowest polymorph: 0 meV/atom
spin magnetization: 0.0 μB per formula unit

Here is a relaxed Al3Pb crystal from the Alexandria database. Energies are from GGA-PBE.

a b c (Å): 3.2028 3.2028 9.7598
angles (deg): 90.00 90.00 120.00
Closest atoms and distances in Å follow each position.
Space group P-6m2 (No. 187)
Symmetry-distinct sites (fractional):
Al: 0.0000 0.0000 0.0000 x1  6 Al 2.80
Al: 0.3333 0.6667 0.2159 x2  3 Al 2.80
Pb: 0.0000 0.0000 0.5000 x1  6 Pb 3.20, 6 Al 3.33

N(E_F): 1.7 states/eV/cell
E_form: 0.249 eV/atom
total energy: -13.94 eV per cell
spin magnetization: 0.0 μB per formula unit

Here is a relaxed Ti2ZnSbW crystal from the Alexandria database. Energies are from GGA-PBE.

a b c (Å): 4.8673 4.8673 5.1260
angles (deg): 90.00 90.00 90.00
Closest atoms and distances in Å follow each position.
Space group P4/mmm (No. 123)
Symmetry-distinct sites (fractional):
Ti: 0.0000 0.5000 0.0000 x2  2 W 2.43
Zn: 0.0000 0.0000 0.5000 x1  4 Sb 3.44, 8 Ti 3.53
Sb: 0.5000 0.5000 0.5000 x1  2 W 2.56
W: 0.5000 0.5000 0.0000 x1  4 Ti 2.43, 2 Sb 2.56

N(E_F): 4.8 states/eV/cell
raw formation energy: 877.0 meV/atom
total energy: -29.75 eV per cell
spin magnetization: 1.1 μB per formula unit

Here is a relaxed LiMg7Tl12 crystal from the Alexandria database. Energies are from GGA-PBE.

a b c (Å): 13.8195 13.8195 9.5465
angles (deg): 90.00 90.00 120.00
Closest atoms and distances in Å follow each position.
Space group R-3 (No. 148, hexagonal axes)
Symmetry-distinct sites (fractional):
Li: 0.0000 0.0000 0.0000 x3  6 Tl 3.03, 6 Mg 3.26
Mg: 0.0000 0.0000 0.5000 x3  12 Tl 3.24-3.32
Mg: 0.0728 0.5919 0.6106 x18  4 Tl 2.98-3.27, 1 Mg 3.14, 1 Li 3.26
Tl: 0.0233 0.7758 0.5587 x18  3 Mg 2.98-3.32, 2 Tl 3.33
Tl: 0.0281 0.8689 0.2358 x18  1 Li 3.03, 4 Mg 3.04-3.36, 2 Tl 3.33

N(E_F): 20.0 states/eV/cell
E_form: -0.016 eV/atom
total energy: -125.36 eV per cell
spin magnetization: 0.0 μB per formula unit

Here is a relaxed MnZnAu2 crystal from the Alexandria database. Energies are from GGA-PBE.

a b c (Å): 4.6921 2.9939 5.0034
angles (deg): 90.00 109.27 90.00
Closest atoms and distances in Å follow each position.
Space group P2/m (No. 10)
Symmetry-distinct sites (fractional):
Mn: 0.0000 0.0000 0.0000 x1  6 Au 2.78-2.81, 4 Zn 2.92, 2 Mn 2.99
Zn: 0.0000 0.5000 0.5000 x1  6 Au 2.78-2.81, 4 Mn 2.92, 2 Zn 2.99
Au: 0.5000 0.0000 0.5000 x1  4 Zn 2.78, 2 Mn 2.81, 6 Au 2.92-2.99
Au: 0.5000 0.5000 0.0000 x1  4 Mn 2.78, 2 Zn 2.81, 6 Au 2.92-2.99

N(E_F): 2.2 states/eV/cell
E_form: 0.002 eV/atom
total energy: -16.99 eV per cell
spin magnetization: 3.9 μB per formula unit

Here is a relaxed Rb2CdTeSe crystal from the Alexandria database. Energies are from GGA-PBE.

a b c (Å): 8.7450 4.6815 11.0352
angles (deg): 90.00 107.60 90.00
Closest atoms and distances in Å follow each position.
Space group P2_1/m (No. 11)
Symmetry-distinct sites (fractional):
Rb: 0.1714 0.2500 0.3920 x2  2 Se 3.37
Rb: 0.2036 0.2500 0.9575 x2  3 Se 3.40
Cd: 0.4956 0.2500 0.7386 x2  1 Se 2.53
Te: 0.2992 0.7500 0.6943 x2  2 Cd 2.86
Se: 0.2005 0.7500 0.1803 x2  1 Cd 2.53

raw formation energy: -887.1 meV/atom
total energy: -27.82 eV per cell
spin magnetization: 0.0 μB per formula unit

Here is a relaxed Fe2AgIr crystal from the Alexandria database. Energies are from GGA-PBE.

a b c (Å): 2.7155 2.7155 26.7811
angles (deg): 90.00 90.00 120.00
Closest atoms and distances in Å follow each position.
Space group R-3m (No. 166, hexagonal axes)
Symmetry-distinct sites (fractional):
Fe: 0.0000 0.0000 0.2460 x6  3 Ir 2.64, 6 Fe 2.72, 3 Ag 2.82
Ag: 0.0000 0.0000 0.0000 x3  6 Ag 2.72, 6 Fe 2.82
Ir: 0.0000 0.0000 0.5000 x3  6 Fe 2.64, 6 Ir 2.72

N(E_F): 17.0 states/eV/cell
E_form: 0.230 eV/atom
total energy: -83.15 eV per cell
spin magnetization: 5.3 μB per formula unit

Here is a relaxed KLi2Co crystal from the Alexandria database. Energies are from GGA-PBE.

a b c (Å): 6.3437 9.8674 2.8706
angles (deg): 90.00 110.87 90.00
Closest atoms and distances in Å follow each position.
Space group C2/m (No. 12)
Symmetry-distinct sites (fractional):
K: 0.0000 0.0000 0.0000 x2  2 K 2.87, 4 Li 3.01, 2 Co 3.17
Li: 0.2500 0.2500 0.5000 x4  4 Li 2.87-3.17, 2 Co 3.01, 2 K 3.01
Co: 0.0000 0.5000 0.0000 x2  2 Co 2.87, 4 Li 3.01, 2 K 3.17

N(E_F): 9.8 states/eV/cell
E_form: 0.699 eV/atom
total energy: -18.47 eV per cell
E above lowest polymorph: 175 meV/atom
spin magnetization: 1.4 μB per formula unit

Here is a relaxed Zn2CdTe crystal from the Alexandria database. Energies are from GGA-PBE.

a b c (Å): 3.0531 4.1347 6.9216
angles (deg): 90.00 90.00 90.00
Closest atoms and distances in Å follow each position.
Space group Pmmm (No. 47)
Symmetry-distinct sites (fractional):
Zn: 0.0000 0.0000 0.2273 x2  4 Cd 3.01, 3 Zn 3.05-3.15, 4 Te 3.19
Cd: 0.5000 0.5000 0.0000 x1  8 Zn 3.01, 2 Cd 3.05
Te: 0.5000 0.5000 0.5000 x1  2 Te 3.05, 8 Zn 3.19

N(E_F): 1.9 states/eV/cell
raw formation energy: 160.7 meV/atom
total energy: -5.96 eV per cell
E above lowest polymorph: 147 meV/atom
spin magnetization: 0.0 μB per formula unit

Here is a relaxed Ca3PmPt4 crystal from the Alexandria database. Energies are from GGA-PBE.

a b c (Å): 4.9521 4.9521 7.0882
angles (deg): 90.00 90.00 90.00
Closest atoms and distances in Å follow each position.
Space group P4/mmm (No. 123)
Symmetry-distinct sites (fractional):
Ca: 0.0000 0.0000 0.0000 x1  8 Pt 3.06
Ca: 0.0000 0.0000 0.5000 x1  8 Pt 3.03
Ca: 0.5000 0.5000 0.0000 x1  8 Pt 3.06
Pm: 0.5000 0.5000 0.5000 x1  8 Pt 3.03
Pt: 0.0000 0.5000 0.2542 x4  6 Ca 3.03-3.06, 2 Pm 3.03

N(E_F): 2.3 states/eV/cell
E_form: -0.962 eV/atom
total energy: -42.62 eV per cell
spin magnetization: 0.0 μB per formula unit

Here is a relaxed Pm12Ga5S3 crystal from the Alexandria database. Energies are from GGA-PBE.

a b c (Å): 17.0561 17.0561 17.0561
angles (deg): 90.00 90.00 90.00
Closest atoms and distances in Å follow each position.
Space group Ia-3d (No. 230)
Symmetry-distinct sites (fractional):
Pm: 0.0176 0.0709 0.6517 x96  2 Ga 2.76-2.87
Ga: 0.0000 0.0000 0.0000 x16  6 Pm 2.87
Ga: 0.0000 0.2500 0.3750 x24  4 Pm 2.76
S: 0.0000 0.2500 0.1250 x24  8 Pm 3.10-3.19

N(E_F): 139.3 states/eV/cell
raw formation energy: -323.6 meV/atom
total energy: -727.97 eV per cell
spin magnetization: 0.0 μB per formula unit